[1]
DFT (PBE) results for a relaxed structure of Pm3Dy3Tm.

Cell lengths 14.761, 14.761, 14.761 Å; angles 24.29, 24.29, 24.29 degrees
Element x y z (fractional)
Pm 0.131 0.462 0.800
Pm 0.200 0.869 0.538
Pm 0.462 0.800 0.131
Pm 0.538 0.200 0.869
Pm 0.800 0.131 0.462
Pm 0.869 0.538 0.200
Dy 0.064 0.731 0.398
Dy 0.269 0.602 0.936
Dy 0.398 0.064 0.731
Dy 0.602 0.936 0.269
Dy 0.731 0.398 0.064
Dy 0.936 0.269 0.602
Tm 0.333 0.333 0.333
Tm 0.667 0.667 0.667

**Energy above the most stable polymorph in this dataset**: 0.143 eV/atom
**Density of states at the Fermi level**: 20.90 states/eV per cell


[2]
DFT (PBE) results for a relaxed structure of MnCu2SbH.

Cell lengths 3.973, 3.973, 3.973 Å; angles 90.00, 90.00, 90.00 degrees
Element x y z (fractional)
Mn 0.000 0.000 0.000
Cu 0.000 0.500 0.500
Cu 0.500 0.000 0.500
Sb 0.500 0.500 0.000
H 0.000 0.000 0.500

**Density of states at the Fermi level**: 2.04 states/eV per cell
**Total energy**: -24.18 eV for the cell shown


[3]
DFT (PBE) results for a relaxed structure of ZrTi2H2.

Cell lengths 5.391, 5.391, 5.391 Å; angles 146.13, 135.98, 56.67 degrees
Element x y z (fractional)
Zr 0.000 0.000 0.000
Ti 0.328 0.328 0.000
Ti 0.672 0.672 0.000
H 0.173 0.673 0.500
H 0.827 0.327 0.500

**Energy above the most stable polymorph in this dataset**: 0.000 eV/atom
**Density of states at the Fermi level**: 6.58 states/eV per cell


[4]
DFT (PBE) results for a relaxed structure of SnAs3S.

Cell lengths 5.224, 5.224, 5.224 Å; angles 90.00, 90.00, 90.00 degrees
Element x y z (fractional)
Sn 0.000 0.000 0.000
As 0.000 0.000 0.500
As 0.000 0.500 0.000
As 0.500 0.000 0.000
S 0.500 0.500 0.500

**Energy above the most stable polymorph in this dataset**: 0.689 eV/atom
**Density of states at the Fermi level**: 5.70 states/eV per cell
**Energy relative to the elements, uncorrected**: 1.237 eV per atom


no.,magnetic moment (μB/cell),theoretical density (g/cm³)
1,0.00,7.575
2,3.32,8.072
3,0.00,5.211
4,0.00,4.374